[1]
7
Lattice="3.8959 -3.9785 0.0000 3.8959 3.9785 0.0000 0.0000 0.0000 3.1802" Properties=species:S:1:pos:R:3 comment="Li4BPt2 PBE-GGA optimized geometry" delta_e_f_ev_per_atom=-0.3959 energy_ev_per_atom=-4.169 sg=Cmmm pbc="T T T"
Li 1.9479 1.9893 1.5901
Li 1.2493 0.0000 0.0000
Li 1.9479 -1.9893 1.5901
Li 6.5425 0.0000 0.0000
B 3.8959 0.0000 1.5901
Pt 3.8959 1.3908 0.0000
Pt 3.8959 -1.3908 0.0000

[2]
7
Lattice="3.9420 2.2759 1.7503 -3.9420 2.2759 1.7503 0.0000 -4.5519 1.7503" Properties=species:S:1:pos:R:3 comment="Li3BPt3 PBE-GGA optimized geometry" delta_e_f_ev_per_atom=-0.4295 energy_ev_per_atom=-4.793 sg=R3m pbc="T T T"
Li -1.5114 -0.8726 1.7503
Li 1.5114 -0.8726 1.7503
Li 0.0000 1.7452 1.7503
B 0.0000 0.0000 4.9608
Pt -1.6872 -0.9741 4.3077
Pt 1.6872 -0.9741 4.3077
Pt 0.0000 1.9483 4.3077

[3]
10
Lattice="4.7714 0.0000 0.0000 0.0000 5.5650 0.0000 -1.0508 0.0000 5.4055" Properties=species:S:1:pos:R:3 comment="LiBPt3 PBE-GGA optimized geometry" delta_e_f_ev_per_atom=-0.3812 energy_ev_per_atom=-5.724 sg=P2_1/m pbc="T T T"
Li -0.2422 1.3913 2.3146
Li 3.9627 4.1738 3.0909
B 0.6026 4.1738 5.1942
B 3.1180 1.3913 0.2112
Pt -0.7690 1.3913 5.0510
Pt 2.0879 5.5637 1.3972
Pt 2.0879 2.7838 1.3972
Pt 1.6327 0.0013 4.0083
Pt 1.6327 2.7812 4.0083
Pt 4.4896 4.1738 0.3545

[4]
3
Lattice="0.0000 2.5717 2.5717 2.5717 0.0000 2.5717 2.5717 2.5717 0.0000" Properties=species:S:1:pos:R:3 comment="LiBPt PBE-GGA optimized geometry" delta_e_f_ev_per_atom=-0.2681 energy_ev_per_atom=-5.145 sg=F-43m pbc="T T T"
Li 0.0000 0.0000 0.0000
B 3.8575 3.8575 3.8575
Pt 2.5717 2.5717 2.5717

| no. | M_tot (μB per cell) |
| --- | --- |
| 1 | 0.0 |
| 2 | 0.0 |
| 3 | 0.0 |
| 4 | 0.0 |